Below is a geometry-optimized Fe2GeP structure, with properties calculated at the PBEsol level.

Cell: 5.599 5.599 5.599 Å, 90.00 90.00 90.00°
Space group Fm-3m (No. 225)
One atom of each set of equivalent atoms:
Fe  0.250  0.250  0.250
Ge  0.000  0.000  0.000
P  0.000  0.000  0.500

Results
Volume: 43.9 Å³/f.u.
Energy: -7.316 eV per atom

Below is a geometry-optimized Fe2GePb2 structure, with properties calculated at the PBEsol level.

Cell: 3.381 3.381 17.237 Å, 90.00 90.00 90.00°
Space group I4/mmm (No. 139)
One atom of each set of equivalent atoms:
Fe  0.000  0.500  0.250
Ge  0.000  0.000  0.000
Pb  0.000  0.000  0.381

Results
Volume: 98.5 Å³/f.u.
Energy: -5.678 eV per atom

Below is a geometry-optimized FeGePb3 structure, with properties calculated at the PBEsol level.

Cell: 5.012 5.012 5.012 Å, 90.00 90.00 90.00°
Space group Pm-3m (No. 221)
One atom of each set of equivalent atoms:
Fe  0.000  0.000  0.000
Ge  0.500  0.500  0.500
Pb  0.000  0.000  0.500

Results
Volume: 125.9 Å³/f.u.
Energy: -4.692 eV per atom

Below is a geometry-optimized Fe3GePd structure, with properties calculated at the PBEsol level.

Cell: 4.539 4.539 4.539 Å, 90.00 90.00 90.00°
Space group Pm-3m (No. 221)
One atom of each set of equivalent atoms:
Fe  0.000  0.000  0.500
Ge  0.500  0.500  0.500
Pd  0.000  0.000  0.000

Results
Volume: 93.5 Å³/f.u.
Energy: -6.233 eV per atom

Below is a geometry-optimized PrFe2Ge2 structure, with properties calculated at the PBEsol level.

Cell: 4.045 4.045 9.940 Å, 90.00 90.00 90.00°
Space group I4/mmm (No. 139)
One atom of each set of equivalent atoms:
Pr  0.000  0.000  0.000
Fe  0.000  0.500  0.250
Ge  0.000  0.000  0.363

Results
Volume: 81.3 Å³/f.u.
Energy: -7.095 eV per atom

Below is a geometry-optimized FeTcGePt2 structure, with properties calculated at the PBEsol level.

Cell: 4.785 4.785 4.281 Å, 90.00 90.00 90.00°
Space group P4/mmm (No. 123)
One atom of each set of equivalent atoms:
Fe  0.000  0.000  0.000
Tc  0.000  0.000  0.500
Ge  0.500  0.500  0.000
Pt  0.000  0.500  0.500

Results
Volume: 98.0 Å³/f.u.
Energy: -6.527 eV per atom

Below is a geometry-optimized FeGeSbTe2 structure, with properties calculated at the PBEsol level.

Cell: 5.065 5.065 4.748 Å, 90.00 90.00 90.00°
Space group P4/mmm (No. 123)
One atom of each set of equivalent atoms:
Fe  0.000  0.000  0.000
Ge  0.500  0.500  0.500
Sb  0.000  0.000  0.500
Te  0.000  0.500  0.000

Results
Formation energy from raw total energies: 486 meV/atom
Volume: 121.8 Å³/f.u.
Energy: -4.617 eV per atom

Below is a geometry-optimized ScFeGe2 structure, with properties calculated at the PBEsol level.

Cell: 9.039 9.937 7.888 Å, 90.00 90.00 90.00°
Space group Pbam (No. 55)
One atom of each set of equivalent atoms:
Sc  0.165  0.178  0.000
Sc  0.174  0.452  0.244
Fe  0.000  0.000  0.245
Fe  0.086  0.745  0.249
Ge  0.039  0.622  0.000
Ge  0.042  0.625  0.500
Ge  0.122  0.902  0.500
Ge  0.128  0.897  0.000
Ge  0.162  0.180  0.341

Results
Volume: 59.0 Å³/f.u.
Energy: -6.983 eV per atom

Below is a geometry-optimized Fe2SiGe structure, with properties calculated at the PBEsol level.

Cell: 5.581 5.581 5.581 Å, 90.00 90.00 90.00°
Space group Fm-3m (No. 225)
One atom of each set of equivalent atoms:
Fe  0.250  0.250  0.250
Si  0.000  0.000  0.000
Ge  0.000  0.000  0.500

Results
Formation energy from raw total energies: -329 meV/atom
Volume: 43.5 Å³/f.u.
Energy: -7.482 eV per atom

Below is a geometry-optimized SmFe2Ge2 structure, with properties calculated at the PBEsol level.

Cell: 4.003 4.003 9.846 Å, 90.00 90.00 90.00°
Space group I4/mmm (No. 139)
One atom of each set of equivalent atoms:
Sm  0.000  0.000  0.000
Fe  0.000  0.500  0.250
Ge  0.000  0.000  0.366

Results
Volume: 78.9 Å³/f.u.
Energy: -7.099 eV per atom

Below is a geometry-optimized Ta3FeGe structure, with properties calculated at the PBEsol level.

Cell: 4.512 4.512 4.512 Å, 90.00 90.00 90.00°
Space group Pm-3m (No. 221)
One atom of each set of equivalent atoms:
Ta  0.000  0.000  0.500
Fe  0.000  0.000  0.000
Ge  0.500  0.500  0.500

Results
Volume: 91.9 Å³/f.u.
Energy: -9.634 eV per atom

Below is a geometry-optimized TaFeGe structure, with properties calculated at the PBEsol level.

Cell: 6.189 3.802 6.996 Å, 90.00 90.00 90.00°
Space group Pnma (No. 62)
One atom of each set of equivalent atoms:
Ta  0.014  0.250  0.196
Fe  0.144  0.250  0.566
Ge  0.230  0.750  0.388

Results
Volume: 41.2 Å³/f.u.
Energy: -9.211 eV per atom